The following is a DFT calculation (PBE with a Hubbard U) of a relaxed AgMoS2O8 crystal.

a = 5.268 Å, b = 5.268 Å, c = 7.171 Å
α = 90.00°, β = 90.00°, γ = 120.00°
Atoms (fractional coordinates):
Ag: 0.000 0.000 0.000
Mo: 0.000 0.000 0.500
S: 0.333 0.667 0.237
S: 0.667 0.333 0.763
O: 0.179 0.358 0.308
O: 0.179 0.821 0.308
O: 0.333 0.667 0.035
O: 0.358 0.179 0.692
O: 0.642 0.821 0.308
O: 0.667 0.333 0.965
O: 0.821 0.179 0.692
O: 0.821 0.642 0.692

Output
V, Å³/cell: 172.4
DFT total energy, eV per atom: -6.06